(1)
6
Lattice="3.939 0.000 0.000 0.000 3.939 0.000 0.000 0.000 7.680" Properties=species:S:1:pos:R:3 comment="CaMnSi PBE optimized geometry" crystal_system=tetragonal final_energy_ev_per_fu=-17.67 raw_formation_energy_ev_per_atom=-0.360 density_g_cm3=3.430 total_magnetization_mub_per_atom=0.6528 pbc="T T T"
Mn 1.970 1.970 0.000
Mn 0.000 0.000 0.000
Si 1.970 0.000 1.365
Si 0.000 1.970 6.314
Ca 0.000 1.970 2.508
Ca 1.970 0.000 5.172

***

(2)
4
Lattice="3.420 0.000 0.000 0.000 4.185 0.000 0.000 0.000 6.610" Properties=species:S:1:pos:R:3 comment="Ca2MnSi PBE optimized geometry" crystal_system=orthorhombic final_energy_ev_per_fu=-18.13 raw_formation_energy_ev_per_atom=0.117 density_g_cm3=2.864 total_magnetization_mub_per_atom=0.9914 pbc="T T T"
Ca 0.000 0.000 6.509
Ca 0.000 0.000 3.406
Si 1.710 2.092 4.957
Mn 1.710 2.092 1.652

***

(3)
3
Lattice="5.795 -0.032 0.000 3.932 4.257 0.000 -4.864 -2.112 2.338" Properties=species:S:1:pos:R:3 comment="CaMnSi PBE optimized geometry" crystal_system=tetragonal final_energy_ev_per_fu=-16.71 raw_formation_energy_ev_per_atom=-0.040 density_g_cm3=3.527 total_magnetization_mub_per_atom=0.8445 pbc="T T T"
Ca 0.022 0.010 0.000
Si 6.950 3.019 0.000
Mn 2.754 1.196 0.000

***

(4)
10
Lattice="6.542 0.000 0.000 0.000 6.542 0.000 0.000 0.000 4.626" Properties=species:S:1:pos:R:3 comment="Ca2MnSi2 PBE optimized geometry" crystal_system=tetragonal final_energy_ev_per_fu=-24.46 raw_formation_energy_ev_per_atom=-0.088 density_g_cm3=3.208 total_magnetization_mub_per_atom=0.0214 pbc="T T T"
Mn 0.000 0.000 0.000
Mn 3.271 3.271 0.000
Si 4.172 0.901 0.000
Si 2.370 5.642 0.000
Si 0.901 2.370 0.000
Si 5.642 4.172 0.000
Ca 1.145 4.416 2.313
Ca 2.127 1.145 2.313
Ca 5.398 2.127 2.313
Ca 4.416 5.398 2.313

***

(5)
4
Lattice="-1.495 -0.590 -2.969 2.904 -1.213 -1.221 -2.126 -7.709 2.601" Properties=species:S:1:pos:R:3 comment="Ca2MnSi PBE optimized geometry" crystal_system=tetragonal final_energy_ev_per_fu=-18.60 raw_formation_energy_ev_per_atom=0.000 density_g_cm3=2.827 total_magnetization_mub_per_atom=0.6090 pbc="T T T"
Ca 0.032 -3.342 -1.272
Ca -1.974 -7.160 2.416
Si -0.722 -6.075 -0.350
Mn -1.241 -4.499 1.518

***

(6)
4
Lattice="-3.902 0.690 2.373 -0.972 -4.505 -0.288 2.147 -0.702 3.735" Properties=species:S:1:pos:R:3 comment="Ca2MnSi PBE optimized geometry" crystal_system=tetragonal final_energy_ev_per_fu=-18.24 raw_formation_energy_ev_per_atom=0.088 density_g_cm3=2.910 total_magnetization_mub_per_atom=1.1073 pbc="T T T"
Mn -0.877 -0.006 3.054
Si 0.588 -2.604 1.724
Ca -2.437 -1.908 1.042
Ca 0.000 0.000 0.000

***

(7)
6
Lattice="0.000 3.673 3.673 3.673 0.000 3.673 3.673 3.673 0.000" Properties=species:S:1:pos:R:3 comment="CaMnSi4 PBE optimized geometry" crystal_system=cubic final_energy_ev_per_fu=-32.02 raw_formation_energy_ev_per_atom=0.141 density_g_cm3=3.475 total_magnetization_mub_per_atom=0.7450 pbc="T T T"
Si 4.600 2.745 4.600
Si 2.745 4.600 4.600
Si 4.600 4.600 2.745
Si 2.745 2.745 2.745
Ca 5.509 5.509 5.509
Mn 0.000 0.000 0.000

***

(8)
8
Lattice="8.175 0.000 0.000 0.000 8.175 0.000 4.088 4.088 3.103" Properties=species:S:1:pos:R:3 comment="Ca2MnSi PBE optimized geometry" crystal_system=tetragonal final_energy_ev_per_fu=-16.87 raw_formation_energy_ev_per_atom=0.431 density_g_cm3=2.613 total_magnetization_mub_per_atom=0.9808 pbc="T T T"
Ca 2.216 6.131 0.776
Ca 5.959 2.044 0.776
Ca 6.131 6.303 2.327
Ca 10.219 10.047 2.327
Mn 0.000 0.000 0.000
Mn 8.175 4.088 1.551
Si 4.088 4.088 0.000
Si 4.088 8.175 1.551

***

(9)
4
Lattice="4.534 0.000 0.000 2.267 3.926 0.000 2.267 1.309 3.702" Properties=species:S:1:pos:R:3 comment="CaMn2Si PBE optimized geometry" crystal_system=cubic final_energy_ev_per_fu=-24.65 raw_formation_energy_ev_per_atom=0.278 density_g_cm3=4.487 total_magnetization_mub_per_atom=0.5103 pbc="T T T"
Si 2.267 1.309 0.925
Mn 6.800 3.926 2.776
Mn 0.000 0.000 0.000
Ca 4.534 2.617 1.851

***

(10)
4
Lattice="6.101 0.098 0.015 2.903 5.367 -0.015 -4.042 -3.490 2.952" Properties=species:S:1:pos:R:3 comment="Ca2MnSi PBE optimized geometry" crystal_system=orthorhombic final_energy_ev_per_fu=-18.71 raw_formation_energy_ev_per_atom=-0.028 density_g_cm3=2.832 total_magnetization_mub_per_atom=0.7720 pbc="T T T"
Mn 3.954 2.400 0.000
Ca 3.179 -0.391 1.483
Ca 0.278 0.169 0.000
Si 2.053 2.530 1.469

***

(11)
3
Lattice="4.636 0.000 0.000 2.318 4.015 0.000 2.318 1.338 3.785" Properties=species:S:1:pos:R:3 comment="CaMnSi PBE optimized geometry" crystal_system=cubic final_energy_ev_per_fu=-16.34 raw_formation_energy_ev_per_atom=0.084 density_g_cm3=2.901 total_magnetization_mub_per_atom=1.5521 pbc="T T T"
Si 6.954 4.015 2.839
Ca 0.000 0.000 0.000
Mn 4.636 2.677 1.893

***

(12)
5
Lattice="-1.164 2.614 0.814 0.739 -0.552 2.829 12.257 6.086 -2.013" Properties=species:S:1:pos:R:3 comment="Ca2MnSi2 PBE optimized geometry" crystal_system=tetragonal final_energy_ev_per_fu=-19.81 raw_formation_energy_ev_per_atom=0.841 density_g_cm3=2.594 total_magnetization_mub_per_atom=0.7499 pbc="T T T"
Ca 7.389 4.806 0.573
Ca 4.442 3.342 1.057
Si 1.914 2.087 1.472
Si 9.917 6.061 0.158
Mn -0.213 1.031 1.821